This record from Alexandria describes an optimized crystal structure of TaBeCo4Ge2. The functional is PBE-GGA.

Summary:
**E**: -6.89 eV/atom
**E_form**: -0.231 eV per atom
**Mass density**: 10.0 Mg/m³
**Space group**: R-3m, No. 166

Cell and atoms, written as CIF:
```
data_TaBeCo4Ge2
_cell_length_a 3.971
_cell_length_b 3.971
_cell_length_c 7.307
_cell_angle_alpha 74.24
_cell_angle_beta 74.24
_cell_angle_gamma 60.00
_symmetry_space_group_name_H-M 'P 1'
_symmetry_Int_Tables_number 1
loop_
_symmetry_equiv_pos_as_xyz
'x,y,z'
loop_
_atom_site_label
_atom_site_fract_x
_atom_site_fract_y
_atom_site_fract_z
Ta1 0.000 0.000 0.000
Be1 0.500 0.500 0.500
Co1 0.394 0.394 0.817
Co2 0.870 0.870 0.391
Co3 0.130 0.130 0.609
Co4 0.606 0.606 0.183
Ge1 0.752 0.752 0.744
Ge2 0.248 0.248 0.256
```